# 1
The following is a DFT calculation (PBE) of crystalline OsAu2Cl at its relaxed geometry.

a b c (Å): 2.9995 2.9995 7.9921
angles (deg): 90.00 90.00 90.00
Closest atoms and distances in Å follow each position.
Space group P4/mmm (No. 123)
Unique sites:
Os 0.0000 0.0000 0.0000  8 Au 2.81, 4 Os 3.00
Au 0.5000 0.5000 0.2307  4 Os 2.81, 4 Au 3.00, 4 Cl 3.02
Cl 0.0000 0.0000 0.5000  4 Cl 3.00, 8 Au 3.02

Summary:
crystal system: tetragonal
total energy: -0.3098 Ry/atom

# 2
The following is a DFT calculation (PBE) of crystalline TlCd2Cl at its relaxed geometry.

a b c (Å): 3.7290 6.0224 9.7149
angles (deg): 90.00 90.00 90.00
Closest atoms and distances in Å follow each position.
Space group Cmmm (No. 65)
Unique sites:
Tl 0.0000 0.0000 0.0000  4 Cd 3.27, 4 Tl 3.54
Cd 0.0000 0.5000 0.2763  2 Cl 2.86
Cl 0.0000 0.0000 0.5000  4 Cd 2.86

Summary:
crystal system: orthorhombic
total energy: -0.1286 Ry/atom

# 3
The following is a DFT calculation (PBE) of crystalline As2PPt at its relaxed geometry.

a b c (Å): 6.4516 6.4516 6.4516
angles (deg): 90.00 90.00 90.00
Closest atoms and distances in Å follow each position.
Space group F-43m (No. 216)
Unique sites:
As 0.0000 0.0000 0.0000  4 P 2.79, 4 As 2.79
As 0.2500 0.2500 0.2500  4 As 2.79, 4 Pt 2.79
P 0.2500 0.2500 0.7500  4 Pt 2.79, 4 As 2.79
Pt 0.0000 0.0000 0.5000  4 As 2.79, 4 P 2.79

Summary:
calculated formation energy: 354 meV per atom
crystal system: cubic

# 4
The following is a DFT calculation (PBE) of crystalline RbHfMg6O7 at its relaxed geometry.

a b c (Å): 4.2269 4.2269 12.9130
angles (deg): 90.00 90.00 90.00
Closest atoms and distances in Å follow each position.
Space group P4mm (No. 99)
Unique sites:
Rb 0.0000 0.0000 0.0000  4 O 2.72
Hf 0.0000 0.0000 0.5172  5 O 1.97-2.12
Mg 0.0000 0.5000 0.3192  2 O 2.14
Mg 0.0000 0.5000 0.7197  1 O 1.91
Mg 0.5000 0.5000 0.5136  6 O 2.12-2.17
Mg 0.5000 0.5000 0.8722  4 O 2.11
O 0.0000 0.0000 0.6696  1 Hf 1.97
O 0.0000 0.5000 0.5054  2 Mg 2.12, 2 Hf 2.12
O 0.0000 0.5000 0.8677  3 Mg 1.91-2.11
O 0.5000 0.5000 0.3458  5 Mg 2.14-2.17
O 0.5000 0.5000 0.6791  5 Mg 2.14-2.18

Summary:
crystal system: tetragonal
total energy: -0.4263 Ry/atom